Entry 1:
This record from the Alexandria database describes a relaxed structure of YSc3In. The functional is PBE.

For the formation energy, the calculation gives -0.1196 eV/atom.

The structure belongs to space group Pmmn (No. 59, origin choice 2); the cell edges are 5.0879, 7.6979 and 6.6552 Å and the angles 90.00°, 90.00° and 90.00°. The distinct sites, in fractional coordinates, are Y at (0.2500, 0.2500, 0.2101), Sc at (0.2500, 0.0599, 0.7338), Sc at (0.2500, 0.7500, 0.0595) and In at (0.2500, 0.7500, 0.4776).

=====

Entry 2:
This record from the Alexandria database describes a relaxed structure of Hf3GePb. The functional is PBE.

For the formation energy, the calculation gives 0.2998 eV/atom.

The structure belongs to space group Pm-3m (No. 221); the cell edges are 4.9940, 4.9940 and 4.9940 Å and the angles 90.00°, 90.00° and 90.00°. The distinct sites, in fractional coordinates, are Hf at (0.0000, 0.0000, 0.5000), Ge at (0.0000, 0.0000, 0.0000) and Pb at (0.5000, 0.5000, 0.5000).